1.
Material: Sr2LiTl
Method: DFT, SCAN
State: PBEsol geometry

Computed properties:
**Formation energy**: -0.298 eV per atom
**Total magnetic moment**: 0.113 μB per formula unit
**Space group**: No. 8

Lattice parameters (Å, degrees): 3.902 5.808 6.601 109.93 107.19 90.00
Sites, in units of the cell vectors:
1 Sr 0.986 0.968 0.973
2 Sr 0.781 0.307 0.563
3 Li 0.204 0.728 0.408
4 Tl 0.528 0.497 0.057

***

2.
Material: Li2TlRu
Method: DFT, SCAN
State: PBEsol geometry

Computed properties:
**Formation energy**: 0.043 eV per atom
**Total magnetic moment**: 0.950 μB per formula unit
**Space group**: No. 123

Lattice parameters (Å, degrees): 3.997 3.897 3.897 90.00 90.00 90.00
Sites, in units of the cell vectors:
1 Li 0.000 0.500 0.000
2 Li 0.000 0.000 0.500
3 Ru 0.500 0.500 0.500
4 Tl 0.500 0.000 0.000

***

3.
Material: BaSr2Ca
Method: DFT, SCAN
State: PBEsol geometry

Computed properties:
**Formation energy**: 0.032 eV per atom
**Total magnetic moment**: 0.061 μB per formula unit
**Space group**: No. 12

Lattice parameters (Å, degrees): 4.017 7.631 7.684 116.92 100.27 99.64
Sites, in units of the cell vectors:
1 Ba 0.000 0.500 0.000
2 Sr 0.500 0.500 0.500
3 Sr 0.000 0.000 0.500
4 Ca 0.500 0.000 0.000

***

4.
Material: HoEr3
Method: DFT, SCAN
State: PBEsol geometry

Computed properties:
**Formation energy**: 0.003 eV per atom
**Total magnetic moment**: 0.001 μB per formula unit
**Space group**: No. 194

Lattice parameters (Å, degrees): 5.460 7.015 7.015 120.00 90.00 90.00
Sites, in units of the cell vectors:
1 Er 0.750 0.834 0.667
2 Er 0.250 0.166 0.333
3 Er 0.750 0.834 0.166
4 Er 0.750 0.333 0.166
5 Er 0.250 0.166 0.834
6 Er 0.250 0.667 0.834
7 Ho 0.750 0.333 0.667
8 Ho 0.250 0.667 0.333

***

5.
Material: TcSbSe2
Method: DFT, SCAN
State: PBEsol geometry

Computed properties:
**Total magnetic moment**: 0.000 μB per formula unit
**Formation energy without anion corrections**: 0.293 eV per atom
**Space group**: No. 122

Lattice parameters (Å, degrees): 6.548 6.573 6.548 60.13 90.00 119.87
Sites, in units of the cell vectors:
1 Sb 0.750 0.500 0.750
2 Sb 0.000 0.000 0.000
3 Se 0.188 0.750 0.875
4 Se 0.875 0.250 0.562
5 Se 0.562 0.750 0.375
6 Se 0.375 0.250 0.188
7 Tc 0.500 0.000 0.500
8 Tc 0.250 0.500 0.250

***

6.
Material: Ca8ZnCo3Si8O28
Method: DFT, SCAN
State: PBEsol geometry

Computed properties:
**Total magnetic moment**: 9.000 μB per formula unit
**Formation energy without anion corrections**: -2.943 eV per atom
**Space group**: No. 81

Lattice parameters (Å, degrees): 4.996 11.024 11.024 90.00 90.00 90.00
Sites, in units of the cell vectors:
1 O 0.185 0.250 0.750
2 O 0.774 0.630 0.946
3 O 0.742 0.891 0.255
4 O 0.257 0.244 0.392
5 O 0.815 0.750 0.750
6 O 0.742 0.109 0.745
7 O 0.743 0.392 0.756
8 O 0.226 0.054 0.630
9 O 0.228 0.554 0.130
10 O 0.218 0.454 0.637
11 O 0.228 0.446 0.870
12 O 0.774 0.370 0.054
13 O 0.743 0.608 0.244
14 O 0.185 0.750 0.250
15 O 0.217 0.046 0.863
16 O 0.226 0.946 0.370
17 O 0.782 0.637 0.546
18 O 0.783 0.137 0.046
19 O 0.258 0.745 0.891
20 O 0.258 0.255 0.109
21 O 0.772 0.130 0.446
22 O 0.815 0.250 0.250
23 O 0.772 0.870 0.554
24 O 0.782 0.363 0.454
25 O 0.218 0.546 0.363
26 O 0.217 0.954 0.137
27 O 0.783 0.863 0.954
28 O 0.257 0.756 0.608
29 Co 0.000 0.500 0.000
30 Co 0.000 0.000 0.000
31 Co 0.000 0.000 0.500
32 Ca 0.495 0.918 0.744
33 Ca 0.503 0.757 0.418
34 Ca 0.503 0.243 0.582
35 Ca 0.505 0.744 0.082
36 Ca 0.497 0.582 0.757
37 Ca 0.497 0.418 0.243
38 Ca 0.495 0.082 0.256
39 Ca 0.505 0.256 0.918
40 Si 0.935 0.753 0.608
41 Si 0.065 0.392 0.753
42 Si 0.064 0.108 0.748
43 Si 0.936 0.748 0.892
44 Si 0.935 0.247 0.392
45 Si 0.065 0.608 0.247
46 Si 0.064 0.892 0.252
47 Si 0.936 0.252 0.108
48 Zn 0.000 0.500 0.500

***

7.
Material: CrNiTeN2
Method: DFT, SCAN
State: PBEsol geometry

Computed properties:
**Total magnetic moment**: 0.634 μB per formula unit
**Formation energy without anion corrections**: 0.954 eV per atom
**Space group**: No. 123

Lattice parameters (Å, degrees): 3.750 3.750 5.151 90.00 90.00 90.00
Sites, in units of the cell vectors:
1 Ni 0.000 0.000 0.000
2 Te 0.000 0.000 0.500
3 N 0.500 0.000 0.000
4 N 0.000 0.500 0.000
5 Cr 0.500 0.500 0.500

***

8.
Material: HgRuSe
Method: DFT, SCAN
State: PBEsol geometry

Computed properties:
**Total magnetic moment**: 0.000 μB per formula unit
**Formation energy without anion corrections**: 0.073 eV per atom
**Space group**: No. 107

Lattice parameters (Å, degrees): 2.975 2.975 6.607 103.01 103.01 90.00
Sites, in units of the cell vectors:
1 Hg 0.981 0.981 0.962
2 Se 0.708 0.708 0.416
3 Ru 0.311 0.311 0.622

***

9.
Material: Li3Mg
Method: DFT, SCAN
State: PBEsol geometry

Computed properties:
**Formation energy**: -0.027 eV per atom
**Total magnetic moment**: 0.025 μB per formula unit
**Space group**: No. 2

Lattice parameters (Å, degrees): 3.185 5.021 5.423 107.01 106.70 90.20
Sites, in units of the cell vectors:
1 Li 0.755 0.753 0.511
2 Li 0.500 0.000 0.000
3 Li 0.246 0.247 0.489
4 Mg 0.000 0.500 0.000

***

10.
Material: BaCd3
Method: DFT, SCAN
State: PBEsol geometry

Computed properties:
**Formation energy**: -0.175 eV per atom
**Total magnetic moment**: 0.000 μB per formula unit
**Space group**: No. 123

Lattice parameters (Å, degrees): 3.715 3.712 7.937 90.00 90.00 90.00
Sites, in units of the cell vectors:
1 Cd 0.500 0.500 0.697
2 Cd 0.500 0.500 0.303
3 Cd 0.000 0.000 0.500
4 Ba 0.000 0.000 0.000

***

11.
Material: Mg2SbCl
Method: DFT, SCAN
State: PBEsol geometry

Computed properties:
**Total magnetic moment**: 0.000 μB per formula unit
**Formation energy without anion corrections**: -0.793 eV per atom
**Space group**: No. 166

Lattice parameters (Å, degrees): 4.253 4.253 6.758 71.66 71.66 60.00
Sites, in units of the cell vectors:
1 Sb 0.500 0.500 0.500
2 Mg 0.239 0.239 0.284
3 Mg 0.761 0.761 0.716
4 Cl 0.000 0.000 0.000

***

12.
Material: YMn2Fe
Method: DFT, SCAN
State: PBEsol geometry

Computed properties:
**Formation energy**: 0.266 eV per atom
**Total magnetic moment**: 0.001 μB per formula unit
**Space group**: No. 160

Lattice parameters (Å, degrees): 3.849 3.849 5.407 69.15 69.15 60.00
Sites, in units of the cell vectors:
1 Mn 0.000 0.000 0.001
2 Mn 0.695 0.695 0.916
3 Fe 0.309 0.309 0.072
4 Y 0.501 0.501 0.497

***

13.
Material: ZnBiPS2
Method: DFT, SCAN
State: PBEsol geometry

Computed properties:
**Total magnetic moment**: 0.000 μB per formula unit
**Formation energy without anion corrections**: 0.443 eV per atom
**Space group**: No. 123

Lattice parameters (Å, degrees): 4.578 4.644 4.644 90.00 90.00 90.00
Sites, in units of the cell vectors:
1 Zn 0.000 0.000 0.000
2 S 0.000 0.000 0.500
3 S 0.000 0.500 0.000
4 Bi 0.500 0.500 0.500
5 P 0.500 0.000 0.000

***

14.
Material: ReP3
Method: DFT, SCAN
State: PBEsol geometry

Computed properties:
**Formation energy**: -0.090 eV per atom
**Total magnetic moment**: 0.000 μB per formula unit
**Space group**: No. 44

Lattice parameters (Å, degrees): 3.736 4.437 4.592 61.11 66.00 90.00
Sites, in units of the cell vectors:
1 P 0.500 0.907 0.000
2 P 0.318 0.333 0.364
3 P 0.682 0.696 0.636
4 Re 0.000 0.231 0.000

***

15.
Material: KBe2P
Method: DFT, SCAN
State: PBEsol geometry

Computed properties:
**Formation energy**: 0.225 eV per atom
**Total magnetic moment**: 0.037 μB per formula unit
**Space group**: No. 12

Lattice parameters (Å, degrees): 3.541 4.014 6.161 106.37 90.00 116.18
Sites, in units of the cell vectors:
1 Be 0.178 0.355 0.049
2 Be 0.822 0.645 0.951
3 K 0.000 0.000 0.500
4 P 0.500 0.000 0.000

***

16.
Material: BaTl2Si
Method: DFT, SCAN
State: PBEsol geometry

Computed properties:
**Total magnetic moment**: 0.000 μB per formula unit
**Formation energy without anion corrections**: -0.087 eV per atom
**Space group**: No. 71

Lattice parameters (Å, degrees): 3.602 5.807 6.455 116.73 106.20 90.00
Sites, in units of the cell vectors:
1 Tl 0.709 0.709 0.419
2 Tl 0.291 0.291 0.581
3 Si 0.000 0.500 0.000
4 Ba 0.500 0.000 0.000

***

17.
Material: ZrCrTc
Method: DFT, SCAN
State: PBEsol geometry

Computed properties:
**Formation energy**: 0.548 eV per atom
**Total magnetic moment**: 0.000 μB per formula unit
**Space group**: No. 216

Lattice parameters (Å, degrees): 4.226 4.226 4.226 60.00 60.00 60.00
Sites, in units of the cell vectors:
1 Zr 0.000 0.000 0.000
2 Tc 0.250 0.250 0.250
3 Cr 0.500 0.500 0.500

***

18.
Material: CaZr2Pt
Method: DFT, SCAN
State: PBEsol geometry

Computed properties:
**Formation energy**: -0.236 eV per atom
**Total magnetic moment**: 0.000 μB per formula unit
**Space group**: No. 225

Lattice parameters (Å, degrees): 4.818 4.818 4.818 60.00 60.00 60.00
Sites, in units of the cell vectors:
1 Zr 0.250 0.250 0.250
2 Zr 0.750 0.750 0.750
3 Ca 0.000 0.000 0.000
4 Pt 0.500 0.500 0.500

***

19.
Material: MoRu2
Method: DFT, SCAN
State: PBEsol geometry

Computed properties:
**Formation energy**: 0.031 eV per atom
**Total magnetic moment**: 0.000 μB per formula unit
**Space group**: No. 141

Lattice parameters (Å, degrees): 3.802 3.802 11.920 99.18 99.18 90.00
Sites, in units of the cell vectors:
1 Ru 0.832 0.332 0.665
2 Ru 0.001 0.501 0.002
3 Ru 0.499 0.999 0.998
4 Ru 0.582 0.582 0.165
5 Ru 0.249 0.249 0.498
6 Ru 0.418 0.418 0.835
7 Ru 0.751 0.751 0.502
8 Ru 0.668 0.168 0.335
9 Mo 0.330 0.830 0.659
10 Mo 0.920 0.920 0.841
11 Mo 0.170 0.670 0.341
12 Mo 0.080 0.080 0.159

***

20.
Material: CsSe2
Method: DFT, SCAN
State: PBEsol geometry

Computed properties:
**Total magnetic moment**: 0.000 μB per formula unit
**Formation energy without anion corrections**: -0.849 eV per atom
**Space group**: No. 15

Lattice parameters (Å, degrees): 5.005 5.005 8.785 76.65 76.65 89.91
Sites, in units of the cell vectors:
1 Se 0.511 0.356 0.405
2 Se 0.356 0.511 0.905
3 Se 0.489 0.644 0.595
4 Se 0.644 0.489 0.095
5 Cs 0.089 0.911 0.250
6 Cs 0.911 0.089 0.750

***

21.
Material: InCu2Te
Method: DFT, SCAN
State: PBEsol geometry

Computed properties:
**Total magnetic moment**: 0.000 μB per formula unit
**Formation energy without anion corrections**: 0.074 eV per atom
**Space group**: No. 160

Lattice parameters (Å, degrees): 3.980 3.980 6.233 71.38 71.38 60.00
Sites, in units of the cell vectors:
1 Cu 0.727 0.727 0.819
2 Cu 0.018 0.018 0.945
3 In 0.475 0.475 0.576
4 Te 0.280 0.280 0.159

***

22.
Material: BaMoRh2
Method: DFT, SCAN
State: PBEsol geometry

Computed properties:
**Formation energy**: 0.396 eV per atom
**Total magnetic moment**: 0.000 μB per formula unit
**Space group**: No. 6

Lattice parameters (Å, degrees): 3.163 4.316 6.273 90.00 98.57 90.00
Sites, in units of the cell vectors:
1 Ba 0.452 0.000 0.457
2 Rh 0.900 0.000 0.936
3 Rh 0.867 0.500 0.204
4 Mo 0.280 0.500 0.903

***

23.
Material: HPtRhBr2
Method: DFT, SCAN
State: PBEsol geometry

Computed properties:
**Raw total energy**: -28.39 eV per atom
**Total magnetic moment**: 0.001 μB per formula unit
**Space group**: No. 123

Lattice parameters (Å, degrees): 3.423 4.698 4.698 90.00 90.00 90.00
Sites, in units of the cell vectors:
1 H 0.000 0.000 0.000
2 Rh 0.500 0.500 0.500
3 Br 0.000 0.000 0.500
4 Br 0.000 0.500 0.000
5 Pt 0.500 0.000 0.000

***

24.
Material: LiTiCoH2
Method: DFT, SCAN
State: PBEsol geometry

Computed properties:
**Raw total energy**: -7.94 eV per atom
**Total magnetic moment**: 0.317 μB per formula unit
**Space group**: No. 123

Lattice parameters (Å, degrees): 3.301 3.301 4.367 90.00 90.00 90.00
Sites, in units of the cell vectors:
1 Li 0.000 0.000 0.000
2 H 0.500 0.000 0.000
3 H 0.000 0.500 0.000
4 Co 0.000 0.000 0.500
5 Ti 0.500 0.500 0.500

***

25.
Material: BaLaH3
Method: DFT, SCAN
State: PBEsol geometry

Computed properties:
**Raw total energy**: -18.53 eV per atom
**Total magnetic moment**: 0.002 μB per formula unit
**Space group**: No. 221

Lattice parameters (Å, degrees): 4.688 4.688 4.688 90.00 90.00 90.00
Sites, in units of the cell vectors:
1 H 0.500 0.000 0.000
2 H 0.000 0.000 0.500
3 H 0.000 0.500 0.000
4 La 0.500 0.500 0.500
5 Ba 0.000 0.000 0.000

***

26.
Material: LiVP3O9
Method: DFT, SCAN
State: PBEsol geometry

Computed properties:
**Total magnetic moment**: 3.000 μB per formula unit
**Formation energy without anion corrections**: -2.414 eV per atom
**Space group**: No. 146

Lattice parameters (Å, degrees): 6.305 6.305 6.305 107.19 107.19 107.19
Sites, in units of the cell vectors:
1 P 0.487 0.044 0.912
2 P 0.044 0.912 0.487
3 P 0.912 0.487 0.044
4 O 0.640 0.909 0.966
5 O 0.909 0.966 0.640
6 O 0.372 0.124 0.080
7 O 0.881 0.638 0.281
8 O 0.966 0.640 0.909
9 O 0.080 0.372 0.124
10 O 0.281 0.881 0.638
11 O 0.638 0.281 0.881
12 O 0.124 0.080 0.372
13 V 0.993 0.993 0.993
14 Li 0.358 0.358 0.358